No. 1
LaYPuTh: relaxed, PBE.

a = 5.654 Å, b = 5.654 Å, c = 5.654 Å
α = 60.00°, β = 60.00°, γ = 60.00°
Element x y z (fractional)
Th: 0.500 0.500 0.500
La: 0.000 0.000 0.000
Pu: 0.750 0.750 0.750
Y: 0.250 0.250 0.250

Values from the calculation:
Symmetry ... F-43m (216)
Density ... 9.143 g/cm3

=====

No. 2
LaFeB2: relaxed, PBE.

a = 4.487 Å, b = 4.487 Å, c = 6.910 Å
α = 71.05°, β = 71.05°, γ = 90.00°
Element x y z (fractional)
La: 0.750 0.250 0.500
B: 0.375 0.625 0.750
B: 0.375 0.625 0.250
B: 0.375 0.125 0.250
Fe: 0.250 0.750 0.500
Fe: 0.500 0.500 0.000
La: 0.000 0.000 0.000
B: 0.875 0.625 0.750

Values from the calculation:
Symmetry ... I4_1/amd (141)
Density ... 5.814 g/cm3
ΔE to the lowest computed polymorph ... 0.00 eV/f.u.

=====

No. 3
Tb4SnOs: relaxed, PBE.

a = 6.140 Å, b = 8.597 Å, c = 8.089 Å
α = 114.42°, β = 102.37°, γ = 108.12°
Element x y z (fractional)
Os: 0.750 0.000 0.999
Tb: 0.379 0.942 0.663
Tb: 0.621 0.058 0.337
Tb: 0.303 0.650 0.861
Sn: 0.621 0.371 0.743
Sn: 0.379 0.629 0.257
Tb: 0.058 0.211 0.861
Tb: 0.697 0.350 0.139
Tb: 0.784 0.721 0.663
Os: 0.250 0.000 0.001
Tb: 0.942 0.789 0.139
Tb: 0.216 0.279 0.337

Values from the calculation:
Symmetry ... C2/c (15)
Density ... 9.246 g/cm3

=====

No. 4
TmHfTl: relaxed, PBE.

a = 3.461 Å, b = 5.075 Å, c = 5.075 Å
α = 120.00°, β = 90.00°, γ = 90.00°
Element x y z (fractional)
Tm: 0.666 0.667 0.333
Tl: 0.168 0.333 0.667
Hf: 0.166 0.000 0.000

Values from the calculation:
Symmetry ... P3m1 (156)
Density ... 11.870 g/cm3
ΔE to the lowest computed polymorph ... 0.51 eV/f.u.

=====

Number 1: volume 127.8 Å³/cell, energy of formation from the pure elements 0.210 eV per atom. Number 2: volume 123.6 Å³/cell, energy of formation from the pure elements -0.157 eV per atom. Number 3: volume 339.3 Å³/cell, energy of formation from the pure elements -0.444 eV per atom. Number 4: volume 77.2 Å³/cell, energy of formation from the pure elements 0.109 eV per atom.